## Tl2PbBr3Cl (PBE)

Data for a geometry-optimized Tl2PbBr3Cl structure.

Structure (CIF):
```
data_Tl2PbBr3Cl
_chemical_formula_sum 'Tl4 Pb2 Br6 Cl2'
_space_group_name_H-M_alt 'I m m m'
_space_group_IT_number 71
_space_group_name_Hall '-I 2 2'
_cell_length_a 5.6705
_cell_length_b 5.9445
_cell_length_c 16.7130
_cell_angle_alpha 90.00
_cell_angle_beta 90.00
_cell_angle_gamma 90.00
loop_
_atom_site_label
_atom_site_fract_x
_atom_site_fract_y
_atom_site_fract_z
Tl1 0.0000 0.0000 0.1376
Pb1 0.0000 0.0000 0.5000
Br1 0.0000 0.0000 0.3205
Br2 0.0000 0.5000 0.5000
Cl1 0.0000 0.5000 0.0000
```

Output
For the total DFT energy (no corrections), the calculation gives -3.0680 eV/atom. Its crystal system is orthorhombic. As for the raw formation energy: -881 meV/atom.

***

## VPb3Br2Cl6 (PBE)

Data for a geometry-optimized VPb3Br2Cl6 structure.

Structure (CIF):
```
data_VPb3Br2Cl6
_chemical_formula_sum 'V2 Pb6 Br4 Cl12'
_space_group_name_H-M_alt 'C 1 2/m 1'
_space_group_IT_number 12
_space_group_name_Hall '-C 2y'
_cell_length_a 14.4813
_cell_length_b 8.0836
_cell_length_c 6.3985
_cell_angle_alpha 90.00
_cell_angle_beta 92.41
_cell_angle_gamma 90.00
loop_
_atom_site_label
_atom_site_fract_x
_atom_site_fract_y
_atom_site_fract_z
V1 0.0000 0.0000 0.0000
Pb1 0.0000 0.5000 0.5000
Pb2 0.2500 0.2500 0.0000
Br1 0.1884 0.5000 0.3176
Cl1 0.0686 0.2275 0.7797
Cl2 0.1461 0.0000 0.2192
```

Output
For the total DFT energy (no corrections), the calculation gives -3.9332 eV/atom. Its crystal system is monoclinic. As for the raw formation energy: -1044 meV/atom.

***

## VPbBrCl6 (PBE)

Data for a geometry-optimized VPbBrCl6 structure.

Structure (CIF):
```
data_VPbBrCl6
_chemical_formula_sum 'V1 Pb1 Br1 Cl6'
_space_group_name_H-M_alt 'P 3 1 2'
_space_group_IT_number 149
_space_group_name_Hall 'P 3 2'
_cell_length_a 6.9451
_cell_length_b 6.9451
_cell_length_c 7.2926
_cell_angle_alpha 90.00
_cell_angle_beta 90.00
_cell_angle_gamma 120.00
loop_
_atom_site_label
_atom_site_fract_x
_atom_site_fract_y
_atom_site_fract_z
V1 0.0000 0.0000 0.0000
Pb1 0.6667 0.3333 0.0000
Br1 0.3333 0.6667 0.5000
Cl1 0.2747 0.0098 0.1880
```

Output
For the total DFT energy (no corrections), the calculation gives -3.7057 eV/atom. Its crystal system is trigonal. As for the raw formation energy: -864 meV/atom.

***

## ZnPb3Br6Cl2 (PBE)

Data for a geometry-optimized ZnPb3Br6Cl2 structure.

Structure (CIF):
```
data_ZnPb3Br6Cl2
_chemical_formula_sum 'Zn2 Pb6 Br12 Cl4'
_space_group_name_H-M_alt 'C 1 2/m 1'
_space_group_IT_number 12
_space_group_name_Hall '-C 2y'
_cell_length_a 14.7179
_cell_length_b 8.4726
_cell_length_c 6.5385
_cell_angle_alpha 90.00
_cell_angle_beta 92.30
_cell_angle_gamma 90.00
loop_
_atom_site_label
_atom_site_fract_x
_atom_site_fract_y
_atom_site_fract_z
Zn1 0.0000 0.0000 0.0000
Pb1 0.0000 0.5000 0.5000
Pb2 0.2500 0.2500 0.0000
Br1 0.0782 0.2302 0.2416
Br2 0.1381 0.0000 0.7668
Cl1 0.1719 0.5000 0.7397
```

Output
For the total DFT energy (no corrections), the calculation gives -3.0888 eV/atom. Its crystal system is monoclinic. As for the raw formation energy: -911 meV/atom.